Entry 1:
Here is Na2PaCuO5 after structural relaxation from Alexandria. Energies are from GGA-PBE.

Unit cell a=6.5976 b=6.5976 c=6.5976 alpha=149.27 beta=131.01 gamma=58.95
Last column: nearest neighbours and their distance in Å.
Fractional coordinates of all 9 atoms:
Na (0.2064, 0.2064, 0.0000)  7 O 2.37-2.60
Na (0.7936, 0.7936, 0.0000)  7 O 2.37-2.60
Pa (0.5000, 0.0000, 0.5000)  10 O 2.45-2.74
Cu (0.0000, 0.5000, 0.5000)  2 O 1.75
O (0.0000, 0.0000, 0.0000)  2 Cu 1.75
O (0.1795, 0.3891, 0.7904)  1 Cu 2.04
O (0.4013, 0.6109, 0.7904)  1 Cu 2.04
O (0.5987, 0.3891, 0.2096)  1 Cu 2.04
O (0.8205, 0.6109, 0.2096)  1 Cu 2.04

Results
Magnetic moment in μB/atom: 0.042
VASP energy in hartree per atom: -0.23330



Entry 2:
Here is NaPaCu2O6 after structural relaxation from Alexandria. Energies are from GGA-PBE.

Unit cell a=6.6623 b=6.6623 c=5.4396 alpha=90.34 beta=90.34 gamma=81.53
Last column: nearest neighbours and their distance in Å.
Fractional coordinates of all 20 atoms:
Na (0.0551, 0.9449, 0.7500)  4 O 2.27-2.29
Na (0.9449, 0.0551, 0.2500)  4 O 2.27-2.29
Pa (0.3185, 0.6815, 0.2500)  4 O 2.18
Pa (0.6815, 0.3185, 0.7500)  4 O 2.18
Cu (0.1590, 0.3485, 0.7431)  4 O 1.84-1.94
Cu (0.3485, 0.1590, 0.2431)  4 O 1.84-1.94
Cu (0.6515, 0.8410, 0.7569)  4 O 1.84-1.94
Cu (0.8410, 0.6515, 0.2569)  4 O 1.84-1.94
O (0.0383, 0.6983, 0.0380)  1 Cu 1.84
O (0.0466, 0.6906, 0.4728)  1 Cu 1.85
O (0.3017, 0.9617, 0.4620)  1 Cu 1.84
O (0.3094, 0.9534, 0.0272)  1 Cu 1.85
O (0.3622, 0.3649, 0.9943)  2 Cu 1.93-1.94
O (0.3649, 0.3622, 0.4943)  2 Cu 1.93-1.94
O (0.6351, 0.6378, 0.5057)  2 Cu 1.93-1.94
O (0.6378, 0.6351, 0.0057)  2 Cu 1.93-1.94
O (0.6906, 0.0466, 0.9728)  1 Cu 1.85
O (0.6983, 0.0383, 0.5380)  1 Cu 1.84
O (0.9534, 0.3094, 0.5272)  1 Cu 1.85
O (0.9617, 0.3017, 0.9620)  1 Cu 1.84

Results
Magnetic moment in μB/atom: 0.000
VASP energy in hartree per atom: -0.23895



Entry 3:
Here is NaPa2CuO6 after structural relaxation from Alexandria. Energies are from GGA-PBE.

Unit cell a=5.0917 b=5.0917 c=5.5875 alpha=90.00 beta=90.00 gamma=90.00
Last column: nearest neighbours and their distance in Å.
Fractional coordinates of all 10 atoms:
Na (0.0000, 0.0000, 0.0000)  5 O 2.19-2.26
Pa (0.0000, 0.5000, 0.4402)  4 O 2.13
Pa (0.5000, 0.0000, 0.4402)  4 O 2.13
Cu (0.5000, 0.5000, 0.9726)  1 O 1.88
O (0.0000, 0.0000, 0.6076)  1 Na 2.19
O (0.2553, 0.2553, 0.2360)  2 Pa 2.13, 1 Na 2.26, 1 Cu 2.30
O (0.2553, 0.7447, 0.2360)  2 Pa 2.13, 1 Na 2.26, 1 Cu 2.30
O (0.5000, 0.5000, 0.6368)  1 Cu 1.88
O (0.7447, 0.2553, 0.2360)  2 Pa 2.13, 1 Na 2.26, 1 Cu 2.30
O (0.7447, 0.7447, 0.2360)  2 Pa 2.13, 1 Na 2.26, 1 Cu 2.30

Results
Magnetic moment in μB/atom: 0.015
VASP energy in hartree per atom: -0.28691



Entry 4:
Here is NaPaCuO5 after structural relaxation from Alexandria. Energies are from GGA-PBE.

Unit cell a=5.6895 b=5.6895 c=8.0884 alpha=98.00 beta=98.00 gamma=116.49
Last column: nearest neighbours and their distance in Å.
Fractional coordinates of all 16 atoms:
Na (0.1779, 0.8221, 0.7500)  3 O 2.32-2.39
Na (0.8221, 0.1779, 0.2500)  3 O 2.32-2.39
Pa (0.5000, 0.5000, 0.0000)  6 O 2.10-2.26
Pa (0.5000, 0.5000, 0.5000)  6 O 2.10-2.26
Cu (0.1650, 0.8350, 0.2500)  4 O 1.84
Cu (0.8350, 0.1650, 0.7500)  4 O 1.84
O (0.0835, 0.1428, 0.9103)  1 Cu 1.84
O (0.1428, 0.0835, 0.4103)  1 Cu 1.84
O (0.2634, 0.6693, 0.4060)  1 Cu 1.84
O (0.3307, 0.7366, 0.0940)  1 Cu 1.84
O (0.4176, 0.5824, 0.7500)  2 Pa 2.17, 1 Na 2.32
O (0.5824, 0.4176, 0.2500)  2 Pa 2.17, 1 Na 2.32
O (0.6693, 0.2634, 0.9060)  1 Cu 1.84
O (0.7366, 0.3307, 0.5940)  1 Cu 1.84
O (0.8572, 0.9165, 0.5897)  1 Cu 1.84
O (0.9165, 0.8572, 0.0897)  1 Cu 1.84

Results
Magnetic moment in μB/atom: 0.128
VASP energy in hartree per atom: -0.25020



Entry 5:
Here is NaPa4Cu3O12 after structural relaxation from Alexandria. Energies are from GGA-PBE.

Unit cell a=7.1270 b=7.1270 c=7.1270 alpha=109.47 beta=109.47 gamma=109.47
Last column: nearest neighbours and their distance in Å.
Fractional coordinates of all 20 atoms:
Na (0.0000, 0.0000, 0.0000)  12 O 2.88
Pa (0.0000, 0.0000, 0.5000)  6 O 2.20
Pa (0.0000, 0.5000, 0.0000)  6 O 2.20
Pa (0.5000, 0.0000, 0.0000)  6 O 2.20
Pa (0.5000, 0.5000, 0.5000)  6 O 2.20
Cu (0.0000, 0.5000, 0.5000)  4 O 2.15
Cu (0.5000, 0.0000, 0.5000)  4 O 2.15
Cu (0.5000, 0.5000, 0.0000)  4 O 2.15
O (0.1314, 0.8273, 0.3041)  1 Cu 2.15, 2 Pa 2.20
O (0.1727, 0.3041, 0.4768)  1 Cu 2.15, 2 Pa 2.20
O (0.1727, 0.6959, 0.8686)  1 Cu 2.15, 2 Pa 2.20
O (0.3041, 0.1314, 0.8273)  1 Cu 2.15, 2 Pa 2.20
O (0.3041, 0.4768, 0.1727)  1 Cu 2.15, 2 Pa 2.20
O (0.4768, 0.1727, 0.3041)  1 Cu 2.15, 2 Pa 2.20
O (0.5232, 0.8273, 0.6959)  1 Cu 2.15, 2 Pa 2.20
O (0.6959, 0.5232, 0.8273)  1 Cu 2.15, 2 Pa 2.20
O (0.6959, 0.8686, 0.1727)  1 Cu 2.15, 2 Pa 2.20
O (0.8273, 0.3041, 0.1314)  1 Cu 2.15, 2 Pa 2.20
O (0.8273, 0.6959, 0.5232)  1 Cu 2.15, 2 Pa 2.20
O (0.8686, 0.1727, 0.6959)  1 Cu 2.15, 2 Pa 2.20

Results
Magnetic moment in μB/atom: 0.010
VASP energy in hartree per atom: -0.30118



Entry 6:
Here is NaPa2CuO8 after structural relaxation from Alexandria. Energies are from GGA-PBE.

Unit cell a=5.1303 b=5.1303 c=7.1155 alpha=90.00 beta=90.00 gamma=120.00
Last column: nearest neighbours and their distance in Å.
Fractional coordinates of all 12 atoms:
Na (0.0000, 0.0000, 0.0000)  12 O 2.97-3.03
Pa (0.3333, 0.6667, 0.3510)  1 O 1.87
Pa (0.6667, 0.3333, 0.6490)  1 O 1.87
Cu (0.0000, 0.0000, 0.5000)  6 O 1.85
O (0.1736, 0.3472, 0.6438)  1 Cu 1.85
O (0.1736, 0.8264, 0.6438)  1 Cu 1.85
O (0.3333, 0.6667, 0.0881)  1 Pa 1.87
O (0.3472, 0.1736, 0.3562)  1 Cu 1.85
O (0.6528, 0.8264, 0.6438)  1 Cu 1.85
O (0.6667, 0.3333, 0.9119)  1 Pa 1.87
O (0.8264, 0.1736, 0.3562)  1 Cu 1.85
O (0.8264, 0.6528, 0.3562)  1 Cu 1.85

Results
Magnetic moment in μB/atom: 0.000
VASP energy in hartree per atom: -0.27246



Entry 7:
Here is NaPa3Cu4O12 after structural relaxation from Alexandria. Energies are from GGA-PBE.

Unit cell a=7.1914 b=7.1914 c=7.1914 alpha=105.15 beta=105.15 gamma=105.15
Last column: nearest neighbours and their distance in Å.
Fractional coordinates of all 20 atoms:
Na (0.0000, 0.0000, 0.0000)  6 O 2.83
Pa (0.0000, 0.5536, 0.4464)  6 O 2.09-2.26
Pa (0.4464, 0.0000, 0.5536)  6 O 2.09-2.26
Pa (0.5536, 0.4464, 0.0000)  6 O 2.09-2.26
Cu (0.0594, 0.5000, 0.9406)  3 O 1.84-1.89
Cu (0.5000, 0.5000, 0.5000)  3 O 1.88
Cu (0.5000, 0.9406, 0.0594)  3 O 1.84-1.89
Cu (0.9406, 0.0594, 0.5000)  3 O 1.84-1.89
O (0.0122, 0.6289, 0.7521)  1 Cu 1.84
O (0.1064, 0.8936, 0.5000)  1 Cu 1.89
O (0.2479, 0.3711, 0.9878)  1 Cu 1.84
O (0.3358, 0.6642, 0.5000)  1 Cu 1.88
O (0.3711, 0.9878, 0.2479)  1 Cu 1.84
O (0.5000, 0.1064, 0.8936)  1 Cu 1.89
O (0.5000, 0.3358, 0.6642)  1 Cu 1.88
O (0.6289, 0.7521, 0.0122)  1 Cu 1.84
O (0.6642, 0.5000, 0.3358)  1 Cu 1.88
O (0.7521, 0.0122, 0.6289)  1 Cu 1.84
O (0.8936, 0.5000, 0.1064)  1 Cu 1.89
O (0.9878, 0.2479, 0.3711)  1 Cu 1.84

Results
Magnetic moment in μB/atom: 0.202
VASP energy in hartree per atom: -0.27053



Entry 8:
Here is NaCuPbO4 after structural relaxation from Alexandria. Energies are from GGA-PBE.

Unit cell a=6.8695 b=6.8695 c=6.8695 alpha=130.27 beta=123.48 gamma=78.58
Last column: nearest neighbours and their distance in Å.
Fractional coordinates of all 14 atoms:
Na (0.4154, 0.1654, 0.2500)  4 O 2.20-2.36
Na (0.5846, 0.8346, 0.7500)  4 O 2.20-2.36
Cu (0.0000, 0.0000, 0.5000)  4 O 1.90
Cu (0.0000, 0.5000, 0.0000)  4 O 1.90
Pb (0.0000, 0.5000, 0.5000)  4 O 2.15
Pb (0.5000, 0.5000, 0.0000)  4 O 2.15
O (0.1602, 0.7247, 0.4355)  2 Cu 1.90
O (0.2109, 0.2753, 0.9355)  2 Cu 1.90
O (0.2629, 0.2702, 0.5073)  2 Pb 2.15, 1 Na 2.20
O (0.2629, 0.7556, 0.9927)  2 Pb 2.15, 1 Na 2.20
O (0.7371, 0.2444, 0.0073)  2 Pb 2.15, 1 Na 2.20
O (0.7371, 0.7298, 0.4927)  2 Pb 2.15, 1 Na 2.20
O (0.7891, 0.7247, 0.0645)  2 Cu 1.90
O (0.8398, 0.2753, 0.5645)  2 Cu 1.90

Results
Magnetic moment in μB/atom: 0.000
VASP energy in hartree per atom: -0.18380